Run P
PBEsol Cd3Br, relaxed; space group = Immm (71)
1.0
-0.163 3.218 1.193
-0.255 -2.008 5.381
5.041 -0.464 -3.006
Cd Br
3 1
Direct
0.244 0.661 0.487
0.756 0.173 0.513
0.500 0.416 0.000
0.000 0.916 0.000

Run Q
PBEsol Cd3Br, relaxed; space group = Cmmm (65)
1.0
3.729 0.000 0.000
0.000 5.246 -0.009
0.000 -1.950 4.870
Cd Br
3 1
Direct
0.500 0.500 0.000
0.500 0.000 0.500
0.000 0.500 0.500
0.000 0.000 0.000

Preferred: run P; penalty for the next structure: 1.8 kJ/mol of atoms.

Run P
PBEsol CdBrCl2, relaxed; space group = Cm (8)
1.0
-2.796 1.261 -2.009
-3.573 -2.220 3.580
2.322 4.243 2.778
Cl Br Cd
2 1 1
Direct
0.091 0.053 0.182
0.255 0.711 0.509
0.431 0.382 0.863
0.723 0.353 0.446

Run Q
PBEsol CdBrCl2, relaxed; space group = R-3m (166)
1.0
-2.236 2.891 0.399
-3.250 -0.406 1.668
2.263 2.826 9.145
Cl Cd Br
2 1 1
Direct
0.219 0.219 0.343
0.781 0.781 0.657
0.500 0.500 0.500
0.000 0.000 0.000

Preferred: run Q; penalty for the next structure: 5.4 kJ/mol of atoms.

Run P
PBEsol Cd2BrCl, relaxed; space group = R3m (160)
1.0
-2.073 1.496 -2.729
-0.945 -2.061 -2.974
-8.096 -2.714 2.101
Cl Cd Br
1 2 1
Direct
0.477 0.477 0.569
0.751 0.751 0.748
0.003 0.003 0.991
0.270 0.270 0.191

Run Q
PBEsol Cd2BrCl, relaxed; space group = F-43m (216)
1.0
-0.690 -5.025 0.147
3.521 -3.102 -1.932
2.832 -2.860 3.090
Cd Br Cl
2 1 1
Direct
0.000 0.000 0.000
0.750 0.750 0.750
0.500 0.500 0.500
0.250 0.250 0.250

Preferred: run P; penalty for the next structure: 51.0 kJ/mol of atoms.

Run P
PBEsol CdCo3Br, relaxed; space group = Pm-3m (221)
1.0
4.719 0.000 0.000
0.000 4.719 0.000
0.000 0.000 4.719
Br Cd Co
1 1 3
Direct
0.500 0.500 0.500
0.000 0.000 0.000
0.500 0.000 0.000
0.000 0.500 0.000
0.000 0.000 0.500

Run Q
PBEsol CdCo3Br, relaxed; space group = Pm-3m (221)
1.0
-2.104 3.497 -1.252
-2.445 -0.221 3.492
2.796 2.439 2.112
Co Br Cd
3 1 1
Direct
0.000 0.000 0.500
0.000 0.500 0.000
0.500 0.000 0.000
0.000 0.000 0.000
0.500 0.500 0.500

Preferred: run Q; penalty for the next structure: 76.3 kJ/mol of atoms.

Run P
PBEsol CsCdBr3, relaxed; space group = P6_3/mmc (194)
1.0
-3.901 4.647 -2.815
-5.915 -4.759 0.340
1.428 4.708 5.793
Br Cd Cs
6 2 2
Direct
0.750 0.832 0.168
0.750 0.832 0.665
0.750 0.335 0.168
0.250 0.665 0.832
0.250 0.168 0.832
0.250 0.168 0.335
0.500 0.000 0.000
0.000 0.000 0.000
0.250 0.667 0.333
0.750 0.333 0.667

Run Q
PBEsol CsCdBr3, relaxed; space group = Pm-3m (221)
1.0
-3.434 1.754 3.890
-0.360 -5.094 1.980
4.252 0.985 3.309
Br Cs Cd
3 1 1
Direct
0.000 0.500 0.000
0.000 0.000 0.500
0.500 0.000 0.000
0.500 0.500 0.500
0.000 0.000 0.000

Preferred: run P; penalty for the next structure: 2.6 kJ/mol of atoms.

Run P
PBEsol Cd2CuBr, relaxed; space group = Pmmm (47)
1.0
-1.087 -2.433 1.955
1.611 -2.995 -2.832
5.067 0.028 2.853
Br Cd Cu
1 2 1
Direct
0.000 0.500 0.500
0.000 0.000 0.000
0.500 0.500 0.000
0.500 0.000 0.500

Run Q
PBEsol Cd2CuBr, relaxed; space group = Immm (71)
1.0
-1.381 1.647 -2.548
-4.808 -2.552 -1.224
-4.666 2.397 1.899
Cu Cd Br
1 2 1
Direct
0.500 0.000 0.000
0.227 0.773 0.773
0.773 0.227 0.227
0.000 0.500 0.500

Run R
PBEsol Cd2CuBr, relaxed; space group = F-43m (216)
1.0
-1.168 -0.389 -4.788
0.956 -4.189 -2.446
-3.714 -2.944 -1.407
Br Cd Cu
1 2 1
Direct
0.500 0.500 0.500
0.750 0.750 0.750
0.000 0.000 0.000
0.250 0.250 0.250

Preferred: run Q; penalty for the next structure: 9.3 kJ/mol of atoms.